RbLiVP2O8: relaxed, PBE with a Hubbard U.

Properties
DOS(E_F) = 0.000 states/eV/atom
V = 721.0 Å³ per cell
Electronic total energy = -357.8 eV per cell

a = 4.9259 Å, b = 8.8993 Å, c = 16.5332 Å
α = 90.00°, β = 95.83°, γ = 90.00°
Last column: nearest neighbours and their distance in Å.
Fractional coordinates of all 52 atoms:
1 Rb 0.0866 0.1165 0.4031  5 O 2.91-3.15
2 Rb 0.0866 0.3835 0.9031  5 O 2.91-3.15
3 Rb 0.9134 0.6165 0.0969  5 O 2.91-3.15
4 Rb 0.9134 0.8835 0.5969  5 O 2.91-3.15
5 Li 0.2476 0.5617 0.5172  3 O 1.97-2.13
6 Li 0.2476 0.9383 0.0172  3 O 1.97-2.13
7 Li 0.7524 0.0617 0.9828  3 O 1.97-2.13
8 Li 0.7524 0.4383 0.4828  3 O 1.97-2.13
9 V 0.0852 0.0372 0.1677  1 O 1.70
10 V 0.0852 0.4628 0.6677  1 O 1.70
11 V 0.9148 0.5372 0.3323  1 O 1.70
12 V 0.9148 0.9628 0.8323  1 O 1.70
13 P 0.3736 0.1449 0.7375  4 O 1.52-1.66
14 P 0.3736 0.3551 0.2375  4 O 1.52-1.66
15 P 0.4277 0.7417 0.4071  4 O 1.52-1.64
16 P 0.4277 0.7583 0.9071  4 O 1.52-1.64
17 P 0.5723 0.2417 0.0929  4 O 1.52-1.64
18 P 0.5723 0.2583 0.5929  4 O 1.52-1.64
19 P 0.6264 0.6449 0.7625  4 O 1.52-1.66
20 P 0.6264 0.8551 0.2625  4 O 1.52-1.66
21 O 0.0583 0.0583 0.9152  1 V 1.70
22 O 0.0583 0.4417 0.4152  1 V 1.70
23 O 0.1541 0.0263 0.7468  1 P 1.53
24 O 0.1541 0.4737 0.2468  1 P 1.53
25 O 0.1552 0.7163 0.3561  1 P 1.53
26 O 0.1552 0.7837 0.8561  1 P 1.53
27 O 0.2844 0.1918 0.2481  1 P 1.53
28 O 0.2844 0.3082 0.7481  1 P 1.53
29 O 0.3585 0.6170 0.7103  1 P 1.52
30 O 0.3585 0.8830 0.2102  1 P 1.52
31 O 0.3762 0.1056 0.0903  1 P 1.55
32 O 0.3762 0.3944 0.5903  1 P 1.55
33 O 0.3893 0.7087 0.9930  1 P 1.52
34 O 0.3893 0.7913 0.4930  1 P 1.52
35 O 0.4271 0.1238 0.6408  2 P 1.64-1.66
36 O 0.4271 0.3762 0.1408  2 P 1.64-1.66
37 O 0.5729 0.6238 0.8592  2 P 1.64-1.66
38 O 0.5729 0.8762 0.3592  2 P 1.64-1.66
39 O 0.6107 0.2087 0.5070  1 P 1.52
40 O 0.6107 0.2913 0.0070  1 P 1.52
41 O 0.6238 0.6056 0.4097  1 P 1.55
42 O 0.6238 0.8944 0.9097  1 P 1.55
43 O 0.6415 0.1170 0.7897  1 P 1.52
44 O 0.6415 0.3830 0.2898  1 P 1.52
45 O 0.7156 0.6918 0.2519  1 P 1.53
46 O 0.7156 0.8082 0.7519  1 P 1.53
47 O 0.8448 0.2163 0.1439  1 P 1.53
48 O 0.8448 0.2837 0.6439  1 P 1.53
49 O 0.8459 0.5263 0.7532  1 P 1.53
50 O 0.8459 0.9737 0.2532  1 P 1.53
51 O 0.9417 0.5583 0.5848  1 V 1.70
52 O 0.9417 0.9417 0.0848  1 V 1.70